Computed, not measured: an optimized crystal structure of Sr2Zn5Pd2Pt at the PBE-GGA level of DFT.

* total magnetization: 0.00 μB per cell
* final energy: -0.11002 hartree per atom
* density: 7.73 g cm⁻³
* E_form: -0.378 eV per atom
* crystal system: tetragonal

```
Sr2Zn5Pd2Pt
1.0
10.2200 0.0000 0.0000
0.0000 10.2200 0.0000
0.0000 0.0000 3.7449
Sr Zn Pd Pt
4 10 4 2
direct
0.1809 0.3191 0.0000
0.3191 0.8191 0.0000
0.6809 0.1809 0.0000
0.8191 0.6809 0.0000
0.0000 0.5000 0.5000
0.0522 0.8153 0.5000
0.1847 0.0522 0.5000
0.3153 0.5522 0.5000
0.4478 0.3153 0.5000
0.5000 0.0000 0.5000
0.5522 0.6847 0.5000
0.6847 0.4478 0.5000
0.8153 0.9478 0.5000
0.9478 0.1847 0.5000
0.1190 0.6190 0.0000
0.3810 0.1190 0.0000
0.6190 0.8810 0.0000
0.8810 0.3810 0.0000
0.0000 0.0000 0.0000
0.5000 0.5000 0.0000
```